First-principles (PBE) data for a geometry-optimized KBePbF6 structure, as listed in the Alexandria database.

Results
For the raw formation energy, the calculation gives -22.5 eV/f.u. The value obtained for the density of states at the Fermi level is 4.0 states/eV/f.u.

The structure in CIF format:
```
data_KBePbF6
_chemical_formula_sum 'K1 Be1 Pb1 F6'
_space_group_name_H-M_alt 'P 3 1 2'
_space_group_IT_number 149
_cell_length_a 5.4965
_cell_length_b 5.4965
_cell_length_c 5.6248
_cell_angle_alpha 90.00
_cell_angle_beta 90.00
_cell_angle_gamma 120.00
loop_
_space_group_symop_operation_xyz
'x,y,z'
'-y,x-y,z'
'-x+y,-x,z'
'-y,-x,-z'
'-x+y,y,-z'
'x,x-y,-z'
loop_
_atom_site_label
_atom_site_fract_x
_atom_site_fract_y
_atom_site_fract_z
K1 0.0000 0.0000 0.0000
Be1 0.6667 0.3333 0.5000
Pb1 0.3333 0.6667 0.5000
F1 0.4078 0.0634 0.6885
```